The following is a DFT calculation (PBE) of crystalline Y2ThCd6 at its relaxed geometry.

Values from the calculation:
Formation energy (eV per atom): -0.286
Size of the total moment (μB/f.u.): 0.00
Fermi-level density of states (states/eV/cell): 5.59
Final energy (eV/cell): -28.4

Lattice parameters (Å, degrees): 3.432 8.702 8.703 120.00 90.00 90.00
Element x y z (fractional)
Cd1 0.500 0.337 0.000
Cd2 0.500 0.663 0.000
Th1 0.000 0.000 0.000
Cd3 0.500 0.000 0.663
Cd4 0.500 0.337 0.337
Cd5 0.500 0.000 0.337
Y1 0.000 0.667 0.333
Y2 0.000 0.333 0.667
Cd6 0.500 0.663 0.663

---

The following is a DFT calculation (PBE) of crystalline Y5ThCd6 at its relaxed geometry.

Values from the calculation:
Formation energy (eV per atom): -0.295
Size of the total moment (μB/f.u.): 0.93
Fermi-level density of states (states/eV/cell): 14.26
Final energy (eV/cell): -48.8

Lattice parameters (Å, degrees): 5.292 7.633 9.204 114.50 106.71 90.00
Element x y z (fractional)
Cd1 0.830 0.088 0.660
Y1 0.331 0.331 0.662
Th1 0.000 0.000 0.000
Cd2 0.170 0.912 0.340
Y2 0.662 0.162 0.324
Y3 0.000 0.500 0.000
Y4 0.338 0.838 0.676
Y5 0.669 0.669 0.338
Cd3 0.170 0.428 0.340
Cd4 0.500 0.735 0.000
Cd5 0.830 0.572 0.660
Cd6 0.500 0.265 0.000

---

The following is a DFT calculation (PBE) of crystalline YThCd14 at its relaxed geometry.

Values from the calculation:
Formation energy (eV per atom): -0.097
Size of the total moment (μB/f.u.): 0.00
Fermi-level density of states (states/eV/cell): 8.10
Final energy (eV/cell): -28.2

Lattice parameters (Å, degrees): 6.672 6.672 8.501 90.00 90.00 90.00
Element x y z (fractional)
Y1 0.375 0.375 0.500
Cd1 0.621 0.129 0.238
Cd2 0.129 0.129 0.762
Th1 0.875 0.875 0.500
Cd3 0.129 0.621 0.238
Cd4 0.621 0.621 0.762
Cd5 0.621 0.129 0.762
Cd6 0.375 0.375 0.000
Cd7 0.375 0.875 0.500
Cd8 0.875 0.375 0.000
Cd9 0.875 0.875 0.000
Cd10 0.129 0.129 0.238
Cd11 0.375 0.875 0.000
Cd12 0.129 0.621 0.762
Cd13 0.875 0.375 0.500
Cd14 0.621 0.621 0.238

---

Among the records above, which one has the highest size of the total moment? Y5ThCd6